Entry 1:
An optimized crystal structure of SrSnHg2Pb2, computed with GGA-PBE.

Calculated values
space-group type = I4/mmm
crystal system = tetragonal

a = 7.4286 Å, b = 7.4286 Å, c = 7.4286 Å
α = 132.55°, β = 132.55°, γ = 69.36°
With the nearest neighbours (Å) after each atom.
Atoms (fractional coordinates):
1 Sr 0.0000 0.0000 0.0000  2 Hg 3.27
2 Sn 0.5000 0.5000 0.0000  2 Hg 2.83
3 Hg 0.2680 0.2680 0.0000  1 Sn 2.83, 4 Pb 3.00
4 Hg 0.7320 0.7320 0.0000  1 Sn 2.83, 4 Pb 3.00
5 Pb 0.2500 0.7500 0.5000  4 Hg 3.00
6 Pb 0.7500 0.2500 0.5000  4 Hg 3.00

Entry 2:
An optimized crystal structure of Mg5InAu6, computed with GGA-PBE.

Calculated values
space-group type = C2/m
crystal system = monoclinic

a = 8.1346 Å, b = 8.1346 Å, c = 4.7162 Å
α = 106.71°, β = 106.71°, γ = 48.30°
With the nearest neighbours (Å) after each atom.
Atoms (fractional coordinates):
1 Mg 0.0000 0.0000 0.0000  8 Au 2.83-2.90
2 Mg 0.1684 0.1684 0.6676  8 Au 2.84-2.86
3 Mg 0.3356 0.3356 0.3359  8 Au 2.82-2.92
4 Mg 0.6644 0.6644 0.6641  8 Au 2.82-2.92
5 Mg 0.8316 0.8316 0.3324  8 Au 2.84-2.86
6 In 0.5000 0.5000 0.0000  8 Au 2.94-2.96
7 Au 0.0709 0.5864 0.8295  7 Mg 2.82-2.92, 1 In 2.96
8 Au 0.2358 0.7642 0.5000  6 Mg 2.83-2.91, 2 In 2.94, 1 Au 3.14
9 Au 0.4136 0.9291 0.1705  7 Mg 2.82-2.92, 1 In 2.96
10 Au 0.5864 0.0709 0.8295  7 Mg 2.82-2.92, 1 In 2.96
11 Au 0.7642 0.2358 0.5000  6 Mg 2.83-2.91, 2 In 2.94, 1 Au 3.14
12 Au 0.9291 0.4136 0.1705  7 Mg 2.82-2.92, 1 In 2.96

Entry 3:
An optimized crystal structure of BaIn2P, computed with GGA-PBE.

Calculated values
space-group type = P2/m
crystal system = monoclinic

a = 5.2580 Å, b = 4.7117 Å, c = 5.2710 Å
α = 90.00°, β = 105.54°, γ = 90.00°
With the nearest neighbours (Å) after each atom.
Atoms (fractional coordinates):
1 Ba 0.0000 0.0000 0.0000  2 P 3.19, 4 In 3.54
2 In 0.3143 0.5000 0.6853  2 P 2.82, 1 In 3.11
3 In 0.6857 0.5000 0.3147  2 P 2.82, 1 In 3.11
4 P 0.5000 0.0000 0.5000  4 In 2.82

Entry 4:
An optimized crystal structure of Rb3HIr, computed with GGA-PBE.

Calculated values
space-group type = Pm-3m
crystal system = cubic

a = 5.4817 Å, b = 5.4817 Å, c = 5.4817 Å
α = 90.00°, β = 90.00°, γ = 90.00°
With the nearest neighbours (Å) after each atom.
Atoms (fractional coordinates):
1 Rb 0.0000 0.0000 0.5000  2 H 2.74
2 Rb 0.0000 0.5000 0.0000  2 H 2.74
3 Rb 0.5000 0.0000 0.0000  2 H 2.74
4 H 0.0000 0.0000 0.0000  6 Rb 2.74
5 Ir 0.5000 0.5000 0.5000  12 Rb 3.88

Entry 5:
An optimized crystal structure of BaZn2POs, computed with GGA-PBE.

Calculated values
space-group type = P4/mmm
crystal system = tetragonal

a = 4.9689 Å, b = 4.9689 Å, c = 4.5301 Å
α = 90.00°, β = 90.00°, γ = 90.00°
With the nearest neighbours (Å) after each atom.
Atoms (fractional coordinates):
1 Ba 0.0000 0.0000 0.0000  8 Zn 3.36, 4 P 3.51
2 Zn 0.0000 0.5000 0.5000  2 Os 2.48
3 Zn 0.5000 0.0000 0.5000  2 Os 2.48
4 P 0.5000 0.5000 0.0000  2 Os 2.27
5 Os 0.5000 0.5000 0.5000  2 P 2.27, 4 Zn 2.48

Entry 6:
An optimized crystal structure of ErCu6Sn6, computed with GGA-PBE.

Calculated values
space-group type = Immm
crystal system = orthorhombic

a = 7.2100 Å, b = 7.2100 Å, c = 7.2100 Å
α = 134.58°, β = 102.43°, γ = 94.76°
With the nearest neighbours (Å) after each atom.
Atoms (fractional coordinates):
1 Er 0.0000 0.0000 0.0000  8 Sn 3.06-3.24
2 Cu 0.0000 0.0000 0.5000  6 Sn 2.77-2.92, 4 Cu 2.78-2.81
3 Cu 0.0000 0.5000 0.0000  6 Sn 2.77-2.92, 4 Cu 2.78-2.81
4 Cu 0.2513 0.5000 0.7513  6 Sn 2.78-2.89, 4 Cu 2.81
5 Cu 0.5000 0.0000 0.0000  6 Sn 2.77-2.92, 4 Cu 2.78-2.81
6 Cu 0.5000 0.5000 0.5000  6 Sn 2.77-2.92, 4 Cu 2.78-2.81
7 Cu 0.7487 0.5000 0.2487  6 Sn 2.78-2.89, 4 Cu 2.81
8 Sn 0.1635 0.6635 0.5000  6 Cu 2.78
9 Sn 0.3316 0.3316 0.0000  6 Cu 2.77-2.78
10 Sn 0.3384 0.0000 0.3384  6 Cu 2.89-2.92, 1 Sn 2.92, 1 Er 3.06
11 Sn 0.6616 0.0000 0.6616  6 Cu 2.89-2.92, 1 Sn 2.92, 1 Er 3.06
12 Sn 0.6684 0.6684 0.0000  6 Cu 2.77-2.78
13 Sn 0.8365 0.3365 0.5000  6 Cu 2.78

Entry 7:
An optimized crystal structure of TePdI2, computed with GGA-PBE.

Calculated values
space-group type = P-1
crystal system = triclinic
formation energy from raw total energies = -235 meV/atom

a = 4.0839 Å, b = 7.1177 Å, c = 9.8850 Å
α = 108.81°, β = 92.01°, γ = 90.67°
With the nearest neighbours (Å) after each atom.
Atoms (fractional coordinates):
1 Te 0.2278 0.3525 0.3638  3 Pd 2.64-2.79
2 Te 0.7722 0.6474 0.6362  3 Pd 2.64-2.79
3 Pd 0.2502 0.7423 0.4825  3 Te 2.64-2.79, 3 I 2.82-2.91
4 Pd 0.7498 0.2577 0.5175  3 Te 2.64-2.79, 3 I 2.82-2.91
5 I 0.2615 0.6877 0.8885  2 Te 3.08-3.25
6 I 0.2749 0.1339 0.6735  3 Pd 2.82-2.91
7 I 0.7251 0.8661 0.3265  3 Pd 2.82-2.91
8 I 0.7385 0.3123 0.1115  2 Te 3.08-3.25

Entry 8:
An optimized crystal structure of Li3MnTl3I8, computed with GGA-PBE.

Calculated values
space-group type = R-3m
crystal system = trigonal
formation energy from raw total energies = -803 meV/atom

a = 9.5994 Å, b = 9.5994 Å, c = 9.5994 Å
α = 54.60°, β = 54.60°, γ = 54.60°
With the nearest neighbours (Å) after each atom.
Atoms (fractional coordinates):
1 Li 0.0000 0.5000 0.5000  6 I 3.03-3.05
2 Li 0.5000 0.0000 0.5000  6 I 3.03-3.05
3 Li 0.5000 0.5000 0.0000  6 I 3.03-3.05
4 Mn 0.0000 0.0000 0.0000  6 I 2.94
5 Tl 0.0000 0.0000 0.5000  6 I 3.51
6 Tl 0.0000 0.5000 0.0000  6 I 3.51
7 Tl 0.5000 0.0000 0.0000  6 I 3.51
8 I 0.2276 0.2276 0.7434  1 Mn 2.94, 2 Li 3.05
9 I 0.2276 0.7434 0.2276  1 Mn 2.94, 2 Li 3.05
10 I 0.2566 0.7724 0.7724  1 Mn 2.94, 2 Li 3.05
11 I 0.2660 0.2660 0.2660  3 Li 3.03
12 I 0.7340 0.7340 0.7340  3 Li 3.03
13 I 0.7434 0.2276 0.2276  1 Mn 2.94, 2 Li 3.05
14 I 0.7724 0.2566 0.7724  1 Mn 2.94, 2 Li 3.05
15 I 0.7724 0.7724 0.2566  1 Mn 2.94, 2 Li 3.05

Entry 9:
An optimized crystal structure of Hf3Zr5Ga3, computed with GGA-PBE.

Calculated values
space-group type = P-62m
crystal system = hexagonal

a = 9.6749 Å, b = 9.6749 Å, c = 2.9925 Å
α = 90.00°, β = 90.00°, γ = 120.00°
With the nearest neighbours (Å) after each atom.
Atoms (fractional coordinates):
1 Hf 0.0000 0.6124 0.0000  2 Ga 2.73, 3 Zr 2.99-3.00, 2 Hf 2.99
2 Hf 0.3876 0.3876 0.0000  2 Ga 2.73, 3 Zr 2.99-3.00, 2 Hf 2.99
3 Hf 0.6124 0.0000 0.0000  2 Ga 2.73, 3 Zr 2.99-3.00, 2 Hf 2.99
4 Zr 0.0000 0.3032 0.0000  4 Ga 2.95, 1 Hf 2.99, 2 Zr 2.99
5 Zr 0.3032 0.0000 0.0000  4 Ga 2.95, 1 Hf 2.99, 2 Zr 2.99
6 Zr 0.3333 0.6667 0.0000  2 Zr 2.99, 3 Hf 3.00
7 Zr 0.6667 0.3333 0.0000  2 Zr 2.99, 3 Hf 3.00
8 Zr 0.6968 0.6968 0.0000  4 Ga 2.95, 1 Hf 2.99, 2 Zr 2.99
9 Ga 0.0000 0.8487 0.5000  2 Ga 2.54, 2 Hf 2.73
10 Ga 0.1513 0.1513 0.5000  2 Ga 2.54, 2 Hf 2.73
11 Ga 0.8487 0.0000 0.5000  2 Ga 2.54, 2 Hf 2.73

Entry 10:
An optimized crystal structure of La3Nd2Au3, computed with GGA-PBE.

Calculated values
space-group type = Immm
crystal system = orthorhombic

a = 11.6883 Å, b = 11.6883 Å, c = 11.6883 Å
α = 161.22°, β = 152.99°, γ = 33.10°
With the nearest neighbours (Å) after each atom.
Atoms (fractional coordinates):
1 La 0.0000 0.0000 0.0000  8 Au 3.30-3.33
2 La 0.3839 0.8839 0.5000  6 Au 3.23-3.33
3 La 0.6161 0.1161 0.5000  6 Au 3.23-3.33
4 Nd 0.2293 0.2293 0.0000  2 Au 3.10, 4 Nd 3.46
5 Nd 0.7707 0.7707 0.0000  2 Au 3.10, 4 Nd 3.46
6 Au 0.1200 0.6200 0.5000  2 Nd 3.10, 6 La 3.30-3.33
7 Au 0.5000 0.5000 0.0000  8 La 3.23-3.33
8 Au 0.8800 0.3800 0.5000  2 Nd 3.10, 6 La 3.30-3.33

Entry 11:
An optimized crystal structure of TeF5, computed with GGA-PBE.

Calculated values
space-group type = Cc
crystal system = monoclinic
formation energy from raw total energies = -1869 meV/atom

a = 5.6553 Å, b = 5.6553 Å, c = 9.1104 Å
α = 115.44°, β = 115.44°, γ = 61.55°
With the nearest neighbours (Å) after each atom.
Atoms (fractional coordinates):
1 Te 0.0212 0.9788 0.5000  5 F 1.89-1.93
2 Te 0.9788 0.0212 0.0000  5 F 1.89-1.93
3 F 0.0927 0.8970 0.8039  1 Te 1.89
4 F 0.1251 0.3040 0.6307  1 Te 1.92
5 F 0.1957 0.6513 0.0275  1 Te 1.92
6 F 0.3040 0.1251 0.1307  1 Te 1.92
7 F 0.3836 0.7677 0.4595  1 Te 1.92
8 F 0.6513 0.1957 0.5275  1 Te 1.92
9 F 0.6603 0.9079 0.8584  1 Te 1.93
10 F 0.7677 0.3836 0.9595  1 Te 1.92
11 F 0.8970 0.0927 0.3039  1 Te 1.89
12 F 0.9079 0.6603 0.3584  1 Te 1.93

Entry 12:
An optimized crystal structure of Na2HoMgPb2, computed with GGA-PBE.

Calculated values
space-group type = Pmc2_1
crystal system = orthorhombic

a = 4.9404 Å, b = 9.3353 Å, c = 7.3454 Å
α = 90.00°, β = 90.00°, γ = 90.00°
With the nearest neighbours (Å) after each atom.
Atoms (fractional coordinates):
1 Na 0.0000 0.0577 0.0000  3 Pb 3.32-3.43, 4 Na 3.41-3.58, 2 Mg 3.58-3.59
2 Na 0.0000 0.9423 0.5000  3 Pb 3.32-3.43, 4 Na 3.41-3.58, 2 Mg 3.58-3.59
3 Na 0.5000 0.1643 0.2889  4 Pb 3.18-3.30, 2 Na 3.41
4 Na 0.5000 0.8357 0.7889  4 Pb 3.18-3.30, 2 Na 3.41
5 Ho 0.5000 0.4710 0.9587  5 Pb 3.21-3.31, 2 Mg 3.45
6 Ho 0.5000 0.5290 0.4587  5 Pb 3.21-3.31, 2 Mg 3.45
7 Mg 0.0000 0.3118 0.6349  4 Pb 2.88-3.07
8 Mg 0.0000 0.6882 0.1349  4 Pb 2.88-3.07
9 Pb 0.0000 0.3795 0.2265  2 Mg 2.96-3.07, 2 Na 3.22, 4 Ho 3.27-3.31
10 Pb 0.0000 0.6205 0.7265  2 Mg 2.96-3.07, 2 Na 3.22, 4 Ho 3.27-3.31
11 Pb 0.5000 0.1743 0.7377  2 Mg 2.88, 1 Na 3.18, 1 Ho 3.21
12 Pb 0.5000 0.8257 0.2377  2 Mg 2.88, 1 Na 3.18, 1 Ho 3.21

Across the entries above, final energy takes the values -2.218 -3.066 -3.582 -2.442 -4.507 -4.162 -3.093 -3.097 -7.290 -4.843 -3.952 -2.958 eV per atom, respectively.
Across the entries above, N(E_F) takes the values 0.348 0.351 0.571 0.991 0.267 0.247 0.015 0.000 1.045 1.001 0.252 0.473 states/eV per atom, respectively.